Record 1
A relaxed FeMo2Au crystal. Source: Alexandria, functional PBE.

Lattice parameters (Å, degrees): 3.9909 3.9909 7.6989 90.00 90.00 90.00
Space group I-4m2 (No. 119)
Asymmetric unit:
1 Fe 0.0000 0.0000 0.0000 x2
2 Mo 0.0000 0.0000 0.5000 x2
3 Mo 0.0000 0.5000 0.7500 x2
4 Au 0.0000 0.5000 0.2500 x2

Computed properties:
* total magnetic moment: 0.62 μB/atom
* calculated total energy: -0.297 Ha/atom
* energy of formation: 272 meV per atom
* distance to the lowest polymorph of the same formula: 108.2 meV/atom

***

Record 2
A relaxed FeMoAu crystal. Source: Alexandria, functional PBE.

Lattice parameters (Å, degrees): 4.4631 4.4631 2.6407 90.00 90.00 120.00
Space group P3m1 (No. 156)
Asymmetric unit:
1 Fe 0.0000 0.0000 0.0000 x1
2 Mo 0.3333 0.6667 0.3861 x1
3 Au 0.6667 0.3333 0.8823 x1

Computed properties:
* total magnetic moment: 0.67 μB/atom
* calculated total energy: -0.267 Ha/atom
* energy of formation: 267 meV per atom
* distance to the lowest polymorph of the same formula: 27.1 meV/atom

***

Record 3
A relaxed FeMoAu2 crystal. Source: Alexandria, functional PBE.

Lattice parameters (Å, degrees): 2.7788 2.7788 8.2529 90.00 90.00 90.00
Space group P4/mmm (No. 123)
Asymmetric unit:
1 Fe 0.0000 0.0000 0.0000 x1
2 Mo 0.0000 0.0000 0.5000 x1
3 Au 0.5000 0.5000 0.2387 x2

Computed properties:
* total magnetic moment: 0.77 μB/atom
* calculated total energy: -0.229 Ha/atom
* energy of formation: 235 meV per atom
* distance to the lowest polymorph of the same formula: 54.1 meV/atom

***

Record 4
A relaxed FeMoAu2 crystal. Source: Alexandria, functional PBE.

Lattice parameters (Å, degrees): 4.0660 4.0660 7.7116 90.00 90.00 90.00
Space group I-4m2 (No. 119)
Asymmetric unit:
1 Fe 0.0000 0.0000 0.0000 x2
2 Mo 0.0000 0.5000 0.7500 x2
3 Au 0.0000 0.0000 0.5000 x2
4 Au 0.0000 0.5000 0.2500 x2

Computed properties:
* total magnetic moment: 0.42 μB/atom
* calculated total energy: -0.226 Ha/atom
* energy of formation: 303 meV per atom
* distance to the lowest polymorph of the same formula: 122.2 meV/atom

***

Record 5
A relaxed FeMoAu2 crystal. Source: Alexandria, functional PBE.

Lattice parameters (Å, degrees): 4.9065 4.9065 2.7414 90.00 90.00 90.00
Space group P4/mmm (No. 123)
Asymmetric unit:
1 Fe 0.0000 0.0000 0.0000 x1
2 Mo 0.5000 0.5000 0.0000 x1
3 Au 0.0000 0.5000 0.5000 x2

Computed properties:
* total magnetic moment: 0.62 μB/atom
* calculated total energy: -0.223 Ha/atom
* energy of formation: 386 meV per atom
* distance to the lowest polymorph of the same formula: 206.0 meV/atom

***

Record 6
A relaxed FeMo2Au crystal. Source: Alexandria, functional PBE.

Lattice parameters (Å, degrees): 3.4259 4.1443 8.5636 90.00 90.00 90.00
Space group Immm (No. 71)
Asymmetric unit:
1 Fe 0.0000 0.0000 0.0000 x2
2 Mo 0.0000 0.5000 0.2628 x4
3 Au 0.0000 0.0000 0.5000 x2

Computed properties:
* total magnetic moment: 0.52 μB/atom
* calculated total energy: -0.298 Ha/atom
* energy of formation: 250 meV per atom
* distance to the lowest polymorph of the same formula: 85.9 meV/atom

***

Record 7
A relaxed FeMoAu2 crystal. Source: Alexandria, functional PBE.

Lattice parameters (Å, degrees): 2.8514 2.8514 27.4961 90.00 90.00 120.00
Space group R-3m (No. 166, hexagonal axes)
Asymmetric unit:
1 Fe 0.0000 0.0000 0.0000 x3
2 Mo 0.0000 0.0000 0.5000 x3
3 Au 0.0000 0.0000 0.2528 x6

Computed properties:
* total magnetic moment: 0.74 μB/atom
* calculated total energy: -0.225 Ha/atom
* energy of formation: 332 meV per atom
* distance to the lowest polymorph of the same formula: 151.9 meV/atom

***

Record 8
A relaxed FeMoAu crystal. Source: Alexandria, functional PBE.

Lattice parameters (Å, degrees): 2.8311 3.7481 8.4971 90.00 90.00 90.00
Space group Imm2 (No. 44)
Asymmetric unit:
1 Fe 0.0000 0.0000 0.0000 x2
2 Mo 0.0000 0.0000 0.6422 x2
3 Au 0.0000 0.0000 0.3246 x2

Computed properties:
* total magnetic moment: 0.46 μB/atom
* calculated total energy: -0.267 Ha/atom
* energy of formation: 271 meV per atom
* distance to the lowest polymorph of the same formula: 30.6 meV/atom